1.
K2AlCl, relaxed, DFT GGA-PBE; ΔE_f (raw) = -0.281 eV per atom
1.0
-2.703 2.703 4.871
2.703 -2.703 4.871
2.703 2.703 -4.871
K Al Cl
2 1 1
Cartesian
2.703 0.000 2.435
0.000 2.703 2.435
0.000 0.000 0.000
0.000 0.000 4.871

2.
Li6Ga2Au, relaxed, DFT GGA-PBE; formation energy = -0.339 eV per atom
1.0
3.863 2.230 2.655
-3.863 2.230 2.655
0.000 -4.461 2.655
Li Ga Au
6 2 1
Cartesian
-1.289 -2.233 3.982
-2.578 0.000 3.982
1.289 -2.233 3.982
-1.289 2.233 3.982
2.578 0.000 3.982
1.289 2.233 3.982
0.000 0.000 2.658
0.000 0.000 5.306
0.000 0.000 0.000

3.
IrSeSBr2, relaxed, DFT GGA-PBE; ΔE_f (raw) = 1.370 eV per atom
1.0
4.856 0.000 0.000
0.000 4.856 0.000
0.000 0.000 5.227
Ir Se S Br
1 1 1 2
Cartesian
0.000 0.000 0.000
2.428 2.428 0.000
2.428 2.428 2.613
0.000 2.428 2.613
2.428 0.000 2.613

4.
InPdW3, relaxed, DFT GGA-PBE; formation energy = 2.114 eV per atom
1.0
4.757 0.000 0.000
0.000 4.757 0.000
0.000 0.000 4.757
In Pd W
1 1 3
Cartesian
0.000 0.000 0.000
2.378 2.378 2.378
0.000 2.378 2.378
2.378 0.000 2.378
2.378 2.378 0.000

5.
# LiHBr

A geometry-optimized LiHBr structure (GGA-PBE, Alexandria).

```
LiHBr
1.0
4.213 0.000 0.000
-1.918 3.769 0.000
-1.948 -1.387 6.986
Li H Br
2 2 2
Cartesian
0.000 0.000 0.000
-1.714 1.046 3.520
-0.178 -0.328 2.560
0.204 0.323 2.537
2.115 1.296 0.754
0.361 2.367 4.431
```

6.
TbPm2Sm3, relaxed, DFT GGA-PBE; formation energy = 0.066 eV per atom
1.0
9.777 0.000 0.000
0.000 3.586 0.000
-0.701 0.000 11.659
Tb Pm Sm
2 4 6
Cartesian
2.121 0.896 4.145
6.954 2.689 7.515
0.384 0.896 7.244
4.226 2.689 1.672
4.850 0.896 9.987
8.692 2.689 4.416
0.669 2.689 1.394
1.698 2.689 10.032
3.500 2.689 7.015
5.575 0.896 4.644
7.377 0.896 1.628
8.407 0.896 10.266

Number 1: ΔE to the lowest computed polymorph 0.3654 eV/atom. Number 2: ΔE to the lowest computed polymorph 0.0000 eV/atom. Number 3: ΔE to the lowest computed polymorph 0.6483 eV/atom. Number 4: ΔE to the lowest computed polymorph 0.0000 eV/atom. Number 5: ΔE to the lowest computed polymorph 0.0425 eV/atom. Number 6: ΔE to the lowest computed polymorph 0.0000 eV/atom.